(1)
Compound: K2VAgBr
Source: Alexandria
Functional: PBE
Structure: optimized geometry

Cell lengths 6.596, 5.230, 6.596 Å; angles 90.00, 90.00, 90.00 degrees
Fractional coordinates of all 5 atoms:
V: 0.500 0.500 0.500
K: 0.500 0.000 0.000
K: 0.000 0.000 0.500
Br: 0.000 0.500 0.000
Ag: 0.000 0.000 0.000

Values from the calculation:
DFT total energy: -2.5655 eV per atom
Magnetization: 4.2 μB/f.u.
Theoretical density: 2.3 Mg/m³
Energy relative to the elements, uncorrected: 0.60 eV per atom

(2)
Compound: ZrAgSnIr
Source: Alexandria
Functional: PBE
Structure: optimized geometry

Cell lengths 4.721, 4.721, 4.721 Å; angles 60.00, 60.00, 60.00 degrees
Fractional coordinates of all 4 atoms:
Ag: 0.500 0.500 0.500
Ir: 0.000 0.000 0.000
Sn: 0.250 0.250 0.250
Zr: 0.750 0.750 0.750

Values from the calculation:
DFT total energy: -6.4382 eV per atom
Magnetization: 0.0 μB/f.u.
Energy relative to the elements: -372 meV/atom
Theoretical density: 11.4 Mg/m³

(3)
Compound: TaTiCuNi
Source: Alexandria
Functional: PBE
Structure: optimized geometry

Cell lengths 4.344, 4.344, 4.344 Å; angles 60.00, 60.00, 60.00 degrees
Fractional coordinates of all 4 atoms:
Ni: 0.500 0.500 0.500
Cu: 0.000 0.000 0.000
Ta: 0.750 0.750 0.750
Ti: 0.250 0.250 0.250

Values from the calculation:
DFT total energy: -7.4511 eV per atom
Magnetization: 0.0 μB/f.u.
Energy relative to the elements: -45 meV/atom
Theoretical density: 10.1 Mg/m³

Repeat the second record exactly.
Compound: ZrAgSnIr
Source: Alexandria
Functional: PBE
Structure: optimized geometry

Cell lengths 4.721, 4.721, 4.721 Å; angles 60.00, 60.00, 60.00 degrees
Fractional coordinates of all 4 atoms:
Ag: 0.500 0.500 0.500
Ir: 0.000 0.000 0.000
Sn: 0.250 0.250 0.250
Zr: 0.750 0.750 0.750

Values from the calculation:
DFT total energy: -6.4382 eV per atom
Magnetization: 0.0 μB/f.u.
Energy relative to the elements: -372 meV/atom
Theoretical density: 11.4 Mg/m³

What is the formula in the first record?
K2VAgBr

What is the theoretical density in the third record?
10.1 Mg/m³

Among the records above, which one has the highest theoretical density?
ZrAgSnIr